Below is a relaxed structure of ScTePN2, with properties calculated at the GGA-PBE level.

The structure in CIF format:
```
data_ScTePN2
_space_group_name_H-M_alt 'P 4/m m m'
_space_group_IT_number 123
_space_group_name_Hall '-P 4 2'
_cell_length_a 3.8158
_cell_length_b 3.8158
_cell_length_c 5.3052
_cell_angle_alpha 90.00
_cell_angle_beta 90.00
_cell_angle_gamma 90.00
loop_
_atom_site_label
_atom_site_fract_x
_atom_site_fract_y
_atom_site_fract_z
Sc1 0.0000 0.0000 0.0000
Te1 0.5000 0.5000 0.0000
P1 0.5000 0.5000 0.5000
N1 0.0000 0.5000 0.5000
```

Final energy: -5.603 eV per atom
Theoretical density: 4.98 g/cm³

=====

Below is a relaxed structure of Th2ScPN5, with properties calculated at the GGA-PBE level.

The structure in CIF format:
```
data_Th2ScPN5
_space_group_name_H-M_alt 'P 4/m b m'
_space_group_IT_number 127
_space_group_name_Hall '-P 4 2ab'
_cell_length_a 6.7229
_cell_length_b 6.7229
_cell_length_c 5.5509
_cell_angle_alpha 90.00
_cell_angle_beta 90.00
_cell_angle_gamma 90.00
loop_
_atom_site_label
_atom_site_fract_x
_atom_site_fract_y
_atom_site_fract_z
Th1 0.1800 0.3200 0.0000
Sc1 0.0000 0.0000 0.5000
P1 0.0000 0.5000 0.5000
N1 0.0000 0.0000 0.0000
N2 0.1302 0.6302 0.2800
```

Final energy: -8.414 eV per atom
Theoretical density: 8.08 g/cm³

=====

Below is a relaxed structure of ThScPN, with properties calculated at the GGA-PBE level.

The structure in CIF format:
```
data_ThScPN
_space_group_name_H-M_alt 'P 4/n m m'
_space_group_IT_number 129
_cell_length_a 4.2351
_cell_length_b 4.2351
_cell_length_c 8.9126
_cell_angle_alpha 90.00
_cell_angle_beta 90.00
_cell_angle_gamma 90.00
loop_
_space_group_symop_operation_xyz
'x,y,z'
'-x,-y,-z'
'-y+1/2,x,z'
'y+1/2,-x,-z'
'-x+1/2,-y+1/2,z'
'x+1/2,y+1/2,-z'
'y,-x+1/2,z'
'-y,x+1/2,-z'
'x+1/2,-y,-z'
'-x+1/2,y,z'
'-y,-x,-z'
'y,x,z'
'-x,y+1/2,-z'
'x,-y+1/2,z'
'y+1/2,x+1/2,-z'
'-y+1/2,-x+1/2,z'
loop_
_atom_site_label
_atom_site_fract_x
_atom_site_fract_y
_atom_site_fract_z
Th1 0.2500 0.2500 0.1209
Sc1 0.2500 0.7500 0.5000
P1 0.2500 0.2500 0.6715
N1 0.2500 0.7500 0.0000
```

Final energy: -8.275 eV per atom
Theoretical density: 6.69 g/cm³